Record 1
# PBE-GGA SnIrSeN2, relaxed
# - E_form (uncorrected) (eV per formula unit) = 3.82
# - crystal system = tetragonal
data_SnIrSeN2
_cell_length_a 3.920
_cell_length_b 3.920
_cell_length_c 5.450
_cell_angle_alpha 90.00
_cell_angle_beta 90.00
_cell_angle_gamma 90.00
_symmetry_space_group_name_H-M 'P 4/m m m'
_symmetry_Int_Tables_number 123
_symmetry_space_group_name_Hall '-P 4 2'
loop_
_atom_site_label
_atom_site_fract_x
_atom_site_fract_y
_atom_site_fract_z
_atom_site_occupancy
Sn1 0.000 0.000 0.000 1
Ir1 0.500 0.500 0.500 1
Se1 0.500 0.500 0.000 1
N1 0.000 0.500 0.500 1

Record 2
# PBE-GGA SrCaRu2, relaxed
# - energy of formation from the pure elements (eV/f.u.) = 3.8
# - crystal system = tetragonal
data_SrCaRu2
_cell_length_a 8.035
_cell_length_b 8.035
_cell_length_c 5.611
_cell_angle_alpha 90.00
_cell_angle_beta 90.00
_cell_angle_gamma 90.00
_symmetry_space_group_name_H-M 'I -4 2 d'
_symmetry_Int_Tables_number 122
_symmetry_space_group_name_Hall 'I -4 2bw'
loop_
_atom_site_label
_atom_site_fract_x
_atom_site_fract_y
_atom_site_fract_z
_atom_site_occupancy
Sr1 0.000 0.000 0.000 1
Ca1 0.000 0.000 0.500 1
Ru1 0.239 0.750 0.625 1

Record 3
# PBE-GGA Er4AlCdHg2, relaxed
# - energy of formation from the pure elements (eV/f.u.) = -3.2
# - crystal system = trigonal
data_Er4AlCdHg2
_cell_length_a 5.1955
_cell_length_b 5.1955
_cell_length_c 25.4667
_cell_angle_alpha 90.00
_cell_angle_beta 90.00
_cell_angle_gamma 120.00
_symmetry_space_group_name_H-M 'R -3 m'
_symmetry_Int_Tables_number 166
_symmetry_space_group_name_Hall '-R 3 2"'
loop_
_atom_site_label
_atom_site_fract_x
_atom_site_fract_y
_atom_site_fract_z
_atom_site_occupancy
Er1 0.0000 0.0000 0.1224 1
Er2 0.0000 0.0000 0.3726 1
Al1 0.0000 0.0000 0.0000 1
Cd1 0.0000 0.0000 0.5000 1
Hg1 0.0000 0.0000 0.2470 1

no.,uncorrected energy (eV per cell)
1,-29.18
2,-73.55
3,-80.01